Below is a crystal of BaAl relaxed with PBEsol, with properties calculated at the SCAN level.

The total energy comes out at -23.83 eV/atom.

It has space group Imma (No. 74), with a = 4.3240 Å, b = 5.7018 Å, c = 10.4645 Å, α = 90.00°, β = 90.00° and γ = 90.00°. The asymmetric unit holds Ba at (0.0000, 0.2500, 0.0934) and Al at (0.0000, 0.2500, 0.6803).